NaAcCd2In2 | PBE | relaxed

Lattice parameters (Å, degrees): 5.0939 5.0939 7.5447 90.00 90.00 120.00
Space group P-3m1 (No. 164)
Symmetry-distinct sites (fractional):
Na 0.0000 0.0000 0.0000 (multiplicity 1)
Ac 0.0000 0.0000 0.5000 (multiplicity 1)
Cd 0.3333 0.6667 0.2339 (multiplicity 2)
In 0.3333 0.6667 0.7536 (multiplicity 2)

## Properties
ΔE_f, eV/atom: -0.276
E_tot, Ry per atom: -0.1763